CrCdIr2Br | Alexandria via LeMat-Bulk | PBE-GGA | optimized geometry; symmetry = P4/mmm, No. 123; formation energy without anion corrections = 1.186 eV per atom; DOS at the Fermi energy = 1.16 states/eV per atom; calculated volume = 21.63 Å³/atom
1.0
4.4613 0.0000 0.0000
0.0000 4.4613 0.0000
0.0000 0.0000 5.4336
Cr Cd Ir Br
1 1 2 1
direct
0.0000 0.0000 0.0000 Cr
0.0000 0.0000 0.5000 Cd
0.0000 0.5000 0.0000 Ir
0.5000 0.0000 0.0000 Ir
0.5000 0.5000 0.5000 Br